(1)
La3H2I2 | PBE | relaxed

The space group is P2_1/c (No. 14) and the conventional cell measures 6.5249, 8.5938 and 7.0706 Å, with angles of 90.00, 112.91 and 90.00 degrees. The distinct sites, in fractional coordinates, are La at (0.0000, 0.0000, 0.0000), La at (0.4301, 0.1394, 0.7317), H at (0.3684, 0.1013, 0.0555) and I at (0.1675, 0.6536, 0.9454).

For the total energy, the calculation gives -4.2587 eV per atom. As for the total magnetization: 0.00 μB per cell.



(2)
Cs2NiSe | PBE | relaxed

The space group is Fm-3m (No. 225) and the conventional cell measures 8.5862, 8.5862 and 8.5862 Å, with angles of 90.00, 90.00 and 90.00 degrees. The distinct sites, in fractional coordinates, are Cs at (0.2500, 0.2500, 0.2500), Ni at (0.0000, 0.0000, 0.0000) and Se at (0.0000, 0.0000, 0.5000).

Its uncorrected formation energy is 190 meV per atom. As for the total magnetization: 6.49 μB per cell.



total magnetization of number 1 (La3H2I2)? 0.00 μB per cell



Which of these has the lowest total magnetization? La3H2I2